Here is an optimized crystal structure of MnNi2O from the Alexandria database. Energies are from PBE with a Hubbard U.

## Properties
final energy: -64.97 eV per cell
total magnetization: 23.3 μB per cell
symmetry: I4_1/amd, No. 141

a b c (Å): 4.7043 4.7043 11.1513
angles (deg): 90.00 90.00 90.00
Closest atoms and distances in Å follow each position.
Positions (direct):
1 Mn 0.0000 0.2500 0.3750  8 Ni 2.98, 4 O 3.33
2 Mn 0.0000 0.7500 0.6250  8 Ni 2.98, 4 O 3.33
3 Mn 0.5000 0.2500 0.1250  8 Ni 2.98, 4 O 3.33
4 Mn 0.5000 0.7500 0.8750  8 Ni 2.98, 4 O 3.33
5 Ni 0.0000 0.0000 0.0000  2 O 1.82
6 Ni 0.0000 0.5000 0.0000  2 O 1.82
7 Ni 0.2500 0.2500 0.7500  2 O 1.82
8 Ni 0.2500 0.7500 0.2500  2 O 1.82
9 Ni 0.5000 0.0000 0.5000  2 O 1.82
10 Ni 0.5000 0.5000 0.5000  2 O 1.82
11 Ni 0.7500 0.2500 0.7500  2 O 1.82
12 Ni 0.7500 0.7500 0.2500  2 O 1.82
13 O 0.0000 0.2500 0.8750  4 Ni 1.82
14 O 0.0000 0.7500 0.1250  4 Ni 1.82
15 O 0.5000 0.2500 0.6250  4 Ni 1.82
16 O 0.5000 0.7500 0.3750  4 Ni 1.82